SmY2Co | PBE | relaxed

a b c (Å): 6.354 6.986 9.522
angles (deg): 90.00 90.00 90.00
Atoms (fractional coordinates):
Sm 0.358 0.455 0.750
Sm 0.858 0.045 0.250
Co 0.548 0.114 0.750
Sm 0.142 0.955 0.750
Y 0.178 0.671 0.431
Y 0.678 0.829 0.931
Y 0.822 0.329 0.931
Sm 0.642 0.545 0.250
Y 0.678 0.829 0.569
Y 0.322 0.171 0.431
Y 0.322 0.171 0.069
Co 0.952 0.614 0.750
Co 0.452 0.886 0.250
Y 0.178 0.671 0.069
Co 0.048 0.386 0.250
Y 0.822 0.329 0.569

Values from the calculation:
* V: 26.4 Å³ per atom
* energy relative to the elements: -0.1329 eV per atom
* SG: Pnma (62)
* density: 6.1 g cm⁻³

---

Tb3GaPd3 | PBE | relaxed

a b c (Å): 4.108 5.562 14.368
angles (deg): 90.00 90.00 111.67
Atoms (fractional coordinates):
Pd 0.082 0.163 0.406
Pd 0.918 0.837 0.594
Pd 0.759 0.518 0.750
Tb 0.518 0.036 0.250
Tb 0.794 0.589 0.398
Tb 0.482 0.964 0.750
Pd 0.082 0.163 0.094
Ga 0.500 0.000 0.500
Pd 0.241 0.482 0.250
Pd 0.918 0.837 0.906
Tb 0.206 0.411 0.602
Tb 0.206 0.411 0.898
Tb 0.794 0.589 0.102
Ga 0.500 0.000 0.000

Values from the calculation:
* V: 21.8 Å³ per atom
* energy relative to the elements: -0.8451 eV per atom
* SG: Cmcm (63)
* density: 9.4 g cm⁻³

---

PmGa4CuAg2 | PBE | relaxed

a b c (Å): 4.471 4.471 8.999
angles (deg): 75.62 75.62 60.00
Atoms (fractional coordinates):
Ga 0.398 0.398 0.807
Ga 0.602 0.602 0.193
Ga 0.870 0.870 0.390
Ga 0.130 0.130 0.610
Ag 0.758 0.758 0.727
Ag 0.242 0.242 0.273
Pm 0.000 0.000 0.000
Cu 0.500 0.500 0.500

Values from the calculation:
* V: 18.7 Å³ per atom
* energy relative to the elements: -0.2036 eV per atom
* SG: R-3m (166)
* density: 7.8 g cm⁻³

---

OsWCl | PBE | relaxed

a b c (Å): 4.705 4.705 4.705
angles (deg): 144.32 129.55 63.31
Atoms (fractional coordinates):
W 0.671 0.671 0.000
Cl 0.002 0.002 0.000
Os 0.327 0.327 0.000

Values from the calculation:
* V: 15.4 Å³ per atom
* SG: Imm2 (44)
* density: 14.7 g cm⁻³
* formation energy (no corrections): 0.992 eV per atom

---

LaNiRh2 | PBE | relaxed

a b c (Å): 5.374 5.374 8.961
angles (deg): 72.55 72.55 60.00
Atoms (fractional coordinates):
Rh 0.420 0.420 0.242
Rh 0.919 0.420 0.242
Ni 0.500 0.500 0.500
Rh 0.420 0.919 0.242
La 0.860 0.860 0.419
Ni 0.667 0.667 0.999
La 0.000 0.000 0.000
Ni 0.333 0.333 0.001
La 0.140 0.140 0.581
Rh 0.081 0.580 0.758
Rh 0.580 0.580 0.758
Rh 0.580 0.081 0.758

Values from the calculation:
* V: 17.5 Å³ per atom
* energy relative to the elements: -0.5113 eV per atom
* SG: R-3m (166)
* density: 9.6 g cm⁻³

---

PdPtN | PBE | relaxed

a b c (Å): 3.335 3.335 9.637
angles (deg): 100.07 100.07 90.01
Atoms (fractional coordinates):
Pd 0.363 0.363 0.224
Pd 0.637 0.637 0.776
N 0.531 0.531 0.561
Pt 0.783 0.783 0.066
Pt 0.217 0.217 0.934
N 0.469 0.469 0.439

Values from the calculation:
* V: 17.3 Å³ per atom
* SG: C2/m (12)
* density: 10.1 g cm⁻³
* formation energy (no corrections): 0.251 eV per atom

---

PuScSb2 | PBE | relaxed

a b c (Å): 4.456 4.456 11.075
angles (deg): 101.61 101.61 89.99
Each line ends with the local moment (μB).
Atoms (fractional coordinates):
Sb 0.343 0.343 0.685  -0.06
Sb 0.500 0.999 0.000  -0.07
Sc 0.250 0.750 0.500  0.39
Sb 0.999 0.500 0.000  -0.07
Pu 0.892 0.892 0.785  5.31
Pu 0.107 0.107 0.215  5.31
Sc 0.750 0.250 0.500  0.39
Sb 0.658 0.658 0.315  -0.06

Values from the calculation:
* V: 26.4 Å³ per atom
* SG: Fmm2 (42)
* density: 8.4 g cm⁻³
* formation energy (no corrections): -0.615 eV per atom

---

Ce4CdHg7 | PBE | relaxed

a b c (Å): 5.471 8.644 8.425
angles (deg): 65.85 71.05 71.55
Each line ends with the local moment (μB).
Atoms (fractional coordinates):
Hg 0.500 0.000 0.000  0.02
Hg 0.944 0.382 0.729  0.01
Ce 0.567 0.259 0.607  0.96
Ce 0.736 0.746 0.782  0.91
Hg 0.056 0.618 0.271  0.01
Hg 0.190 0.991 0.628  0.01
Hg 0.810 0.009 0.372  0.01
Ce 0.433 0.741 0.393  0.96
Ce 0.264 0.254 0.218  0.91
Hg 0.683 0.460 0.174  0.01
Cd 0.000 0.000 0.000  0.00
Hg 0.317 0.540 0.826  0.01

Values from the calculation:
* V: 28.0 Å³ per atom
* energy relative to the elements: -0.1797 eV per atom
* SG: C2/m (12)
* density: 10.3 g cm⁻³

---

| no. | calculated total energy (eV/cell) |
| --- | --- |
| 1 | -101.1 |
| 2 | -76.8 |
| 3 | -28.3 |
| 4 | -23.1 |
| 5 | -82.4 |
| 6 | -37.6 |
| 7 | -62.7 |
| 8 | -28.9 |